# HfScCdPb GGA-PBE relaxed
data_HfScCdPb
_chemical_formula_sum 'Hf4 Sc4 Cd4 Pb4'
_cell_length_a 7.138
_cell_length_b 7.138
_cell_length_c 7.138
_cell_angle_alpha 90.00
_cell_angle_beta 90.00
_cell_angle_gamma 90.00
_symmetry_space_group_name_H-M 'F -4 3 m'
_symmetry_Int_Tables_number 216
_symmetry_space_group_name_Hall 'F -4 2 3'
loop_
_atom_site_label
_atom_site_type_symbol
_atom_site_fract_x
_atom_site_fract_y
_atom_site_fract_z
Hf1 Hf 0.000 0.000 0.000
Sc1 Sc 0.000 0.000 0.500
Cd1 Cd 0.250 0.250 0.250
Pb1 Pb 0.250 0.250 0.750
# ΔE_f = -33 meV/atom
# Size of the total moment = 0.000 μB per atom
# VASP energy = -0.193 Ha/atom
# DOS at the Fermi energy = 12.6 states/eV per cell
# Volume = 22.7 Å³/atom